DFT (PBE) results for crystalline TlPW2 at its relaxed geometry.

POSCAR file:
```
TlPW2
1.0
-2.649 1.151 1.061
-1.560 -1.755 -1.989
-0.324 -5.238 4.875
W P Tl
2 1 1
Direct
0.000 0.000 0.817
0.000 0.000 0.183
0.500 0.500 0.000
0.500 0.500 0.500
```

* mass density: 14.76 g/cm³
* E_form: 1.7 eV/f.u.


DFT (PBE) results for crystalline Dy4ErRh2 at its relaxed geometry.

POSCAR file:
```
Dy4ErRh2
1.0
-6.051 -1.030 -1.598
2.228 -5.885 -4.646
-1.536 -2.344 7.330
Rh Dy Er
4 8 2
Direct
0.250 0.626 0.590
0.750 0.374 0.410
0.250 0.249 0.989
0.750 0.751 0.011
0.497 0.588 0.236
0.250 0.246 0.335
0.750 0.754 0.665
0.997 0.412 0.764
0.503 0.412 0.764
0.250 0.982 0.617
0.750 0.018 0.383
0.003 0.588 0.236
0.750 0.159 0.029
0.250 0.841 0.971
```

* mass density: 9.46 g/cm³
* E_form: -3.4 eV/f.u.


DFT (PBE) results for crystalline LiLa2SnO at its relaxed geometry.

POSCAR file:
```
LiLa2SnO
1.0
5.043 0.000 0.000
0.000 5.043 0.000
0.000 0.000 4.525
O La Li Sn
1 2 1 1
Direct
0.000 0.000 0.000
0.500 0.000 0.000
0.000 0.500 0.000
0.000 0.000 0.500
0.500 0.500 0.500
```

* mass density: 6.05 g/cm³
* energy relative to the elements, uncorrected: -1.54 eV/atom


DFT (PBE) results for crystalline TlAgTe3 at its relaxed geometry.

POSCAR file:
```
TlAgTe3
1.0
-5.425 -2.876 -3.778
1.149 -3.794 -5.641
-1.115 -7.263 3.414
Te Ag Tl
6 2 2
Direct
0.238 0.524 0.750
0.819 0.854 0.956
0.181 0.146 0.044
0.327 0.854 0.544
0.762 0.476 0.250
0.673 0.146 0.456
0.434 0.132 0.250
0.566 0.868 0.750
0.161 0.678 0.250
0.839 0.322 0.750
```

* mass density: 6.93 g/cm³
* energy relative to the elements, uncorrected: -0.09 eV/atom


DFT (PBE) results for crystalline RbTe2Au at its relaxed geometry.

POSCAR file:
```
RbTe2Au
1.0
2.442 0.000 9.946
-1.221 2.115 9.946
-1.221 -2.115 9.946
Au Rb Te
1 1 2
Direct
0.500 0.500 0.500
0.000 0.000 0.000
0.117 0.117 0.117
0.883 0.883 0.883
```

* mass density: 5.79 g/cm³
* energy relative to the elements, uncorrected: -0.08 eV/atom


DFT (PBE) results for crystalline Sr2CuAs4Au3 at its relaxed geometry.

POSCAR file:
```
Sr2CuAs4Au3
1.0
-1.656 -2.000 -3.632
-3.400 -1.583 2.422
-5.883 9.085 -2.321
As Sr Au Cu
4 2 3 1
Direct
0.500 0.000 0.628
0.000 0.000 0.000
0.000 0.500 0.372
0.500 0.500 0.000
0.000 0.500 0.742
0.500 0.000 0.258
0.000 0.000 0.500
0.000 0.500 0.141
0.500 0.000 0.859
0.500 0.500 0.500
```

* mass density: 8.50 g/cm³
* E_form: -5.1 eV/f.u.